ReTc2As | GGA-PBEsol | optimized geometry

Unit cell a=2.9348 b=2.9348 c=6.5307 alpha=90.00 beta=90.00 gamma=90.00
Fractional coordinates of all 4 atoms:
Re (0.5000, 0.5000, 0.7401)
As (0.0000, 0.0000, 0.4943)
Tc (0.0000, 0.0000, 0.0006)
Tc (0.5000, 0.5000, 0.2648)

Summary:
- Energy of formation: 0.09 eV/f.u.
- N(E_F): 2.324 states/eV/cell
- Crystal system: tetragonal

=====

ReTcAs2 | GGA-PBEsol | optimized geometry

Unit cell a=3.0313 b=4.1199 c=5.3849 alpha=112.49 beta=106.35 gamma=90.00
Fractional coordinates of all 4 atoms:
Re (0.4927, 0.4927, 0.9854)
As (0.9869, 0.9869, 0.9737)
As (0.7617, 0.2617, 0.5233)
Tc (0.2588, 0.7588, 0.5176)

Summary:
- Energy of formation: 0.88 eV/f.u.
- N(E_F): 2.253 states/eV/cell
- Crystal system: orthorhombic

=====

ReTe2As | GGA-PBEsol | optimized geometry

Unit cell a=4.8176 b=4.8176 c=4.8176 alpha=107.89 beta=110.27 gamma=110.27
Fractional coordinates of all 4 atoms:
Re (0.0000, 0.5000, 0.5000)
As (0.0000, 0.0000, 0.0000)
Te (0.5000, 0.5000, 0.0000)
Te (0.5000, 0.0000, 0.5000)

Summary:
- Formation energy (no corrections): 0.778 eV/atom
- N(E_F): 4.432 states/eV/cell
- Crystal system: tetragonal

=====

ReTe2As | GGA-PBEsol | optimized geometry

Unit cell a=3.2840 b=3.2840 c=9.5492 alpha=80.10 beta=80.10 gamma=60.00
Fractional coordinates of all 4 atoms:
Re (0.2435, 0.2435, 0.2696)
As (0.5173, 0.5173, 0.4480)
Te (0.9793, 0.9793, 0.0622)
Te (0.7600, 0.7600, 0.7201)

Summary:
- Formation energy (no corrections): 0.226 eV/atom
- N(E_F): 2.627 states/eV/cell
- Crystal system: trigonal